# 1
# PBE-GGA BaMnCr2S8, optimized geometry
# Calculated total energy = -5.921 eV per atom
# Crystal system = trigonal
# M_tot = 15.13 μB/cell
# D(E_F) = 1.7 states/eV/f.u.
data_BaMnCr2S8
_chemical_formula_sum 'Ba3 Mn3 Cr6 S24'
_cell_length_a 5.9643
_cell_length_b 5.9643
_cell_length_c 25.8710
_cell_angle_alpha 90.00
_cell_angle_beta 90.00
_cell_angle_gamma 120.00
_symmetry_space_group_name_H-M 'R -3'
_symmetry_Int_Tables_number 148
_symmetry_space_group_name_Hall '-R 3'
loop_
_atom_site_label
_atom_site_type_symbol
_atom_site_fract_x
_atom_site_fract_y
_atom_site_fract_z
Ba1 Ba 0.0000 0.0000 0.0000
Mn1 Mn 0.0000 0.0000 0.5000
Cr1 Cr 0.0000 0.0000 0.2488
S1 S 0.0000 0.0000 0.3292
S2 S 0.0000 0.3320 0.2218

---

# 2
# PBE-GGA Mn2BePb, optimized geometry
# Calculated total energy = -5.788 eV per atom
# Crystal system = cubic
# Energy above the lowest structure with this stoichiometry = 259 meV/atom
# M_tot = 18.61 μB/cell
# D(E_F) = 3.4 states/eV/f.u.
data_Mn2BePb
_chemical_formula_sum 'Mn8 Be4 Pb4'
_cell_length_a 6.1318
_cell_length_b 6.1318
_cell_length_c 6.1318
_cell_angle_alpha 90.00
_cell_angle_beta 90.00
_cell_angle_gamma 90.00
_symmetry_space_group_name_H-M 'F -4 3 m'
_symmetry_Int_Tables_number 216
_symmetry_space_group_name_Hall 'F -4 2 3'
loop_
_atom_site_label
_atom_site_type_symbol
_atom_site_fract_x
_atom_site_fract_y
_atom_site_fract_z
Mn1 Mn 0.0000 0.0000 0.0000
Mn2 Mn 0.2500 0.2500 0.2500
Be1 Be 0.2500 0.2500 0.7500
Pb1 Pb 0.0000 0.0000 0.5000

---

# 3
# PBE-GGA Mg2FeSnBi, optimized geometry
# Calculated total energy = -2.788 eV per atom
# Crystal system = tetragonal
# M_tot = 3.22 μB/cell
# D(E_F) = 12.8 states/eV/f.u.
data_Mg2FeSnBi
_chemical_formula_sum 'Mg2 Fe1 Sn1 Bi1'
_cell_length_a 5.3604
_cell_length_b 5.3604
_cell_length_c 6.0661
_cell_angle_alpha 90.00
_cell_angle_beta 90.00
_cell_angle_gamma 90.00
_symmetry_space_group_name_H-M 'P 4/m m m'
_symmetry_Int_Tables_number 123
_symmetry_space_group_name_Hall '-P 4 2'
loop_
_atom_site_label
_atom_site_type_symbol
_atom_site_fract_x
_atom_site_fract_y
_atom_site_fract_z
Mg1 Mg 0.0000 0.5000 0.0000
Fe1 Fe 0.0000 0.0000 0.5000
Sn1 Sn 0.5000 0.5000 0.5000
Bi1 Bi 0.5000 0.5000 0.0000

---

# 4
# PBE-GGA RbSnSb2I, optimized geometry
# Calculated total energy = -2.947 eV per atom
# Crystal system = tetragonal
# Energy above the lowest structure with this stoichiometry = 0 meV/atom
# M_tot = 0.94 μB/cell
# D(E_F) = 4.8 states/eV/f.u.
data_RbSnSb2I
_chemical_formula_sum 'Rb1 Sn1 Sb2 I1'
_cell_length_a 5.7370
_cell_length_b 5.7370
_cell_length_c 6.6937
_cell_angle_alpha 90.00
_cell_angle_beta 90.00
_cell_angle_gamma 90.00
_symmetry_space_group_name_H-M 'P 4/m m m'
_symmetry_Int_Tables_number 123
_symmetry_space_group_name_Hall '-P 4 2'
loop_
_atom_site_label
_atom_site_type_symbol
_atom_site_fract_x
_atom_site_fract_y
_atom_site_fract_z
Rb1 Rb 0.0000 0.0000 0.0000
Sn1 Sn 0.5000 0.5000 0.5000
Sb1 Sb 0.0000 0.5000 0.5000
I1 I 0.5000 0.5000 0.0000

---

# 5
# PBE-GGA Ce6GeSb5, optimized geometry
# Calculated total energy = -6.044 eV per atom
# Crystal system = monoclinic
# M_tot = 8.71 μB/cell
# D(E_F) = 34.1 states/eV/f.u.
data_Ce6GeSb5
_chemical_formula_sum 'Ce12 Ge2 Sb10'
_cell_length_a 7.7193
_cell_length_b 13.3657
_cell_length_c 7.7187
_cell_angle_alpha 90.00
_cell_angle_beta 109.50
_cell_angle_gamma 90.00
_symmetry_space_group_name_H-M 'C 1 2/m 1'
_symmetry_Int_Tables_number 12
loop_
_symmetry_equiv_pos_as_xyz
'x,y,z'
'-x,-y,-z'
'-x,y,-z'
'x,-y,z'
'x+1/2,y+1/2,z'
'-x+1/2,-y+1/2,-z'
'-x+1/2,y+1/2,-z'
'x+1/2,-y+1/2,z'
loop_
_atom_site_label
_atom_site_type_symbol
_atom_site_fract_x
_atom_site_fract_y
_atom_site_fract_z
Ce1 Ce 0.2400 0.0000 0.2534
Ce2 Ce 0.2418 0.1613 0.7422
Ge1 Ge 0.0000 0.0000 0.5000
Sb1 Sb 0.0000 0.1721 0.0000
Sb2 Sb 0.0000 0.3344 0.5000
Sb3 Sb 0.0000 0.5000 0.0000

---

# 6
# PBE-GGA Cs2NbAgBr6, optimized geometry
# Calculated total energy = -3.577 eV per atom
# Crystal system = trigonal
# Energy above the lowest structure with this stoichiometry = 0 meV/atom
# M_tot = 12.00 μB/cell
# D(E_F) = 10.0 states/eV/f.u.
data_Cs2NbAgBr6
_chemical_formula_sum 'Cs12 Nb6 Ag6 Br36'
_cell_length_a 7.8552
_cell_length_b 7.8552
_cell_length_c 39.5156
_cell_angle_alpha 90.00
_cell_angle_beta 90.00
_cell_angle_gamma 120.00
_symmetry_space_group_name_H-M 'R -3 m'
_symmetry_Int_Tables_number 166
_symmetry_space_group_name_Hall '-R 3 2"'
loop_
_atom_site_label
_atom_site_type_symbol
_atom_site_fract_x
_atom_site_fract_y
_atom_site_fract_z
Cs1 Cs 0.0000 0.0000 0.1237
Cs2 Cs 0.0000 0.0000 0.2935
Nb1 Nb 0.0000 0.0000 0.0000
Nb2 Nb 0.0000 0.0000 0.5000
Ag1 Ag 0.0000 0.0000 0.4151
Br1 Br 0.0090 0.5045 0.1281
Br2 Br 0.0133 0.5067 0.7058